(1)
# PBE Ti6AlGa12, relaxed
data_Ti6AlGa12
_symmetry_space_group_name_H-M 'R -3'
_symmetry_Int_Tables_number 148
_symmetry_space_group_name_Hall '-R 3'
_cell_length_a 12.4338
_cell_length_b 12.4338
_cell_length_c 6.9610
_cell_angle_alpha 90.00
_cell_angle_beta 90.00
_cell_angle_gamma 120.00
loop_
_atom_site_label
_atom_site_type_symbol
_atom_site_fract_x
_atom_site_fract_y
_atom_site_fract_z
Ti1 Ti 0.0318 0.2655 0.3429
Al1 Al 0.0000 0.0000 0.0000
Ga1 Ga 0.0146 0.1428 0.6771
Ga2 Ga 0.0594 0.5698 0.6690
# **Total magnetic moment**: 0.00 μB per formula unit
# **Energy of formation from the pure elements**: -5.5 eV/f.u.
# **DOS at the Fermi energy**: 0.5944 states/eV/atom

(2)
# PBE Ti6AlGa2, relaxed
data_Ti6AlGa2
_symmetry_space_group_name_H-M 'I m m m'
_symmetry_Int_Tables_number 71
_symmetry_space_group_name_Hall '-I 2 2'
_cell_length_a 2.738
_cell_length_b 7.774
_cell_length_c 13.965
_cell_angle_alpha 90.00
_cell_angle_beta 90.00
_cell_angle_gamma 90.00
loop_
_atom_site_label
_atom_site_type_symbol
_atom_site_fract_x
_atom_site_fract_y
_atom_site_fract_z
Ti1 Ti 0.000 0.170 0.000
Ti2 Ti 0.000 0.319 0.169
Al1 Al 0.000 0.000 0.500
Ga1 Ga 0.000 0.500 0.347
# **Total magnetic moment**: 1.27 μB per formula unit
# **Energy of formation from the pure elements**: -1.2 eV/f.u.
# **DOS at the Fermi energy**: 1.4468 states/eV/atom

(3)
# PBE Ti6Al12Ga, relaxed
data_Ti6Al12Ga
_symmetry_space_group_name_H-M 'R -3 m'
_symmetry_Int_Tables_number 166
_symmetry_space_group_name_Hall '-R 3 2"'
_cell_length_a 12.3017
_cell_length_b 12.3017
_cell_length_c 7.9823
_cell_angle_alpha 90.00
_cell_angle_beta 90.00
_cell_angle_gamma 120.00
loop_
_atom_site_label
_atom_site_type_symbol
_atom_site_fract_x
_atom_site_fract_y
_atom_site_fract_z
Ti1 Ti 0.0830 0.5415 0.2059
Al1 Al 0.0000 0.3870 0.5000
Al2 Al 0.0772 0.1545 0.2365
Ga1 Ga 0.0000 0.0000 0.0000
# **Total magnetic moment**: 0.01 μB per formula unit
# **Energy of formation from the pure elements**: 2.0 eV/f.u.
# **DOS at the Fermi energy**: 0.8939 states/eV/atom